! Cs2LaNdS4 | Alexandria | PBE-GGA | optimized geometry; values from VASP
! * space group: No. 10
! * formation energy without anion corrections: -1.85 eV/atom
! * mass density: 4.34 g cm⁻³
! * crystal system: monoclinic
&SYSTEM
  ibrav = 0, nat = 8, ntyp = 4
/
ATOMIC_SPECIES
La 138.91 La.upf
S 32.06 S.upf
Cs 132.91 Cs.upf
Nd 144.24 Nd.upf
ATOMIC_POSITIONS crystal
La 0.0000 0.0000 0.0000
S 0.5000 0.2323 0.1866
S 0.0000 0.2747 0.8136
Cs 0.0000 0.5000 0.5000
S 0.0000 0.7253 0.1864
Cs 0.5000 0.0000 0.5000
S 0.5000 0.7677 0.8134
Nd 0.5000 0.5000 0.0000
CELL_PARAMETERS angstrom
-1.7669 -1.0967 3.7655
6.7381 0.0620 3.1799
-3.1825 7.7992 0.7781